Density functional theory data (GGA-PBE) for a geometry-optimized Sb6PdAu2 structure.

Computed properties:
Calculated density: 8.6 g cm⁻³
ΔE_f (raw): -0.117 eV per atom
Crystal system: trigonal
Final energy: -37.54 eV per cell

Unit cell a=5.5179 b=7.0618 c=7.0618 alpha=119.99 beta=89.99 gamma=89.99
Closest atoms and distances in Å follow each position.
Fractional positions:
Sb 0.8003 0.6415 0.6415  1 Pd 2.76, 2 Au 2.81, 1 Sb 2.97
Sb 0.1997 0.6414 0.9998  1 Pd 2.76, 2 Au 2.81, 1 Sb 2.98
Sb 0.1997 0.9998 0.6414  1 Pd 2.76, 2 Au 2.81, 1 Sb 2.98
Sb 0.8003 0.3586 0.0002  1 Pd 2.76, 2 Au 2.81, 1 Sb 2.98
Sb 0.1997 0.3585 0.3585  1 Pd 2.76, 2 Au 2.81, 1 Sb 2.97
Sb 0.8003 0.0002 0.3586  1 Pd 2.76, 2 Au 2.81, 1 Sb 2.98
Pd 0.0000 0.0000 0.0000  6 Sb 2.76
Au 0.5000 0.6668 0.3333  6 Sb 2.81
Au 0.5000 0.3332 0.6667  6 Sb 2.81

=====

Density functional theory data (GGA-PBE) for a geometry-optimized Sb2Pd6Au structure.

Computed properties:
Calculated density: 11.7 g cm⁻³
ΔE_f (raw): -0.319 eV per atom
Crystal system: monoclinic
ΔE to the lowest computed polymorph: 0.000 eV per formula unit
Final energy: -45.55 eV per cell

Unit cell a=4.1915 b=4.8562 c=8.5589 alpha=101.28 beta=90.00 gamma=115.57
Closest atoms and distances in Å follow each position.
Fractional positions:
Sb 0.6856 0.3711 0.7460  9 Pd 2.70-2.99
Sb 0.3144 0.6289 0.2540  9 Pd 2.70-2.99
Pd 0.3397 0.6793 0.9453  3 Sb 2.70-2.85, 9 Pd 2.76-2.97
Pd 0.6603 0.3207 0.0547  3 Sb 2.70-2.85, 9 Pd 2.76-2.97
Pd 0.9932 0.9864 0.1709  3 Sb 2.75-2.80, 1 Au 2.80, 8 Pd 2.86-3.01
Pd 0.6670 0.3340 0.3934  3 Au 2.82-2.86, 4 Sb 2.86-3.06, 5 Pd 2.89-3.01
Pd 0.0068 0.0136 0.8291  3 Sb 2.75-2.80, 1 Au 2.80, 8 Pd 2.86-3.01
Pd 0.3330 0.6660 0.6066  3 Au 2.82-2.86, 4 Sb 2.86-3.06, 5 Pd 2.89-3.01
Au 0.0000 0.0000 0.5000  8 Pd 2.80-2.86

=====

Density functional theory data (GGA-PBE) for a geometry-optimized SbPd3Au4 structure.

Computed properties:
Calculated density: 14.4 g cm⁻³
ΔE_f (raw): -0.101 eV per atom
Crystal system: monoclinic
Final energy: -33.62 eV per cell

Unit cell a=4.1334 b=4.0736 c=10.5826 alpha=125.13 beta=101.26 gamma=90.00
Closest atoms and distances in Å follow each position.
Fractional positions:
Sb 0.5000 0.0000 0.0000  4 Pd 2.90, 8 Au 3.00-3.03
Pd 0.0000 0.5000 0.0000  4 Sb 2.90, 8 Au 3.00-3.03
Pd 0.2495 0.2483 0.4990  8 Au 2.84-2.87, 4 Pd 2.90
Pd 0.7505 0.7517 0.5010  8 Au 2.84-2.87, 4 Pd 2.90
Au 0.6316 0.8950 0.2632  6 Pd 2.85-3.03, 4 Au 2.90, 2 Sb 3.00-3.01
Au 0.3684 0.1050 0.7368  6 Pd 2.85-3.03, 4 Au 2.90, 2 Sb 3.00-3.01
Au 0.8683 0.6047 0.7365  6 Pd 2.84-3.01, 4 Au 2.90, 2 Sb 3.03
Au 0.1317 0.3953 0.2635  6 Pd 2.84-3.01, 4 Au 2.90, 2 Sb 3.03

=====

Density functional theory data (GGA-PBE) for a geometry-optimized Sb4PdAu2 structure.

Computed properties:
Calculated density: 9.7 g cm⁻³
ΔE_f (raw): -0.166 eV per atom
Crystal system: triclinic
Final energy: -29.40 eV per cell

Unit cell a=4.3022 b=7.3069 c=6.8741 alpha=122.57 beta=107.91 gamma=90.61
Closest atoms and distances in Å follow each position.
Fractional positions:
Sb 0.8924 0.2492 0.7998  3 Au 2.74-3.06, 1 Pd 2.78, 1 Sb 3.06
Sb 0.1076 0.7508 0.2002  3 Au 2.74-3.06, 1 Pd 2.78, 1 Sb 3.06
Sb 0.6317 0.2789 0.2591  2 Pd 2.78, 3 Au 2.84-2.92
Sb 0.3683 0.7211 0.7409  2 Pd 2.78, 3 Au 2.84-2.92
Pd 0.0000 0.0000 0.0000  6 Sb 2.78, 2 Au 2.94
Au 0.7313 0.7401 0.4546  6 Sb 2.74-3.06, 1 Pd 2.94
Au 0.2687 0.2599 0.5454  6 Sb 2.74-3.06, 1 Pd 2.94

=====

Density functional theory data (GGA-PBE) for a geometry-optimized SbPd6Au2 structure.

Computed properties:
Calculated density: 12.8 g cm⁻³
ΔE_f (raw): -0.182 eV per atom
Crystal system: monoclinic
ΔE to the lowest computed polymorph: 0.000 eV per formula unit
Final energy: -43.47 eV per cell

Unit cell a=4.1431 b=4.8832 c=8.7033 alpha=70.69 beta=76.23 gamma=64.90
Closest atoms and distances in Å follow each position.
Fractional positions:
Sb 0.0000 0.5000 0.5000  8 Pd 2.77-2.93, 4 Au 3.04
Pd 0.6607 0.7333 0.9452  3 Au 2.74-2.83, 9 Pd 2.75-2.90
Pd 0.3393 0.2667 0.0548  3 Au 2.74-2.83, 9 Pd 2.75-2.90
Pd 0.0093 0.8146 0.1668  3 Au 2.78-2.83, 1 Sb 2.80, 8 Pd 2.82-2.94
Pd 0.3436 0.9202 0.3926  3 Sb 2.77-2.93, 4 Au 2.86-2.92, 5 Pd 2.87-2.96
Pd 0.9907 0.1854 0.8332  3 Au 2.78-2.83, 1 Sb 2.80, 8 Pd 2.82-2.94
Pd 0.6564 0.0798 0.6074  3 Sb 2.77-2.93, 4 Au 2.86-2.92, 5 Pd 2.87-2.96
Au 0.3162 0.6303 0.7373  10 Pd 2.74-2.92, 2 Sb 3.04
Au 0.6838 0.3697 0.2627  10 Pd 2.74-2.92, 2 Sb 3.04

=====

Density functional theory data (GGA-PBE) for a geometry-optimized Sb2Pd7Au2 structure.

Computed properties:
Calculated density: 11.8 g cm⁻³
ΔE_f (raw): -0.178 eV per atom
Crystal system: monoclinic
Final energy: -53.10 eV per cell

Unit cell a=5.1014 b=6.4484 c=6.4484 alpha=95.55 beta=105.45 gamma=105.45
Closest atoms and distances in Å follow each position.
Fractional positions:
Sb 0.0000 0.2696 0.7304  6 Pd 2.61-2.68
Sb 0.0000 0.7304 0.2696  6 Pd 2.61-2.68
Pd 0.6811 0.9267 0.4138  2 Sb 2.61-2.67, 3 Pd 2.71-2.79, 1 Au 2.77
Pd 0.3189 0.5862 0.0733  2 Sb 2.61-2.67, 3 Pd 2.71-2.79, 1 Au 2.77
Pd 0.3189 0.0733 0.5862  2 Sb 2.61-2.67, 3 Pd 2.71-2.79, 1 Au 2.77
Pd 0.6811 0.4138 0.9267  2 Sb 2.61-2.67, 3 Pd 2.71-2.79, 1 Au 2.77
Pd 0.5000 0.0000 0.0000  4 Pd 2.71, 2 Au 2.77
Pd 0.3215 0.6071 0.6071  2 Sb 2.68, 1 Au 2.84, 2 Pd 2.98
Pd 0.6785 0.3929 0.3929  2 Sb 2.68, 1 Au 2.84, 2 Pd 2.98
Au 0.0817 0.1956 0.1956  6 Pd 2.77-3.05, 2 Sb 3.02
Au 0.9183 0.8044 0.8044  6 Pd 2.77-3.05, 2 Sb 3.02

=====

Density functional theory data (GGA-PBE) for a geometry-optimized Sb4PdAu structure.

Computed properties:
Calculated density: 8.9 g cm⁻³
ΔE_f (raw): -0.213 eV per atom
Crystal system: monoclinic
Final energy: -52.47 eV per cell

Unit cell a=6.6679 b=6.6688 c=6.6684 alpha=90.00 beta=89.76 gamma=90.00
Closest atoms and distances in Å follow each position.
Fractional positions:
Sb 0.8792 0.6211 0.1330  1 Pd 2.70, 2 Au 2.80, 1 Sb 2.89
Sb 0.6208 0.1211 0.8670  1 Pd 2.70, 2 Au 2.80, 1 Sb 2.89
Sb 0.3705 0.3704 0.3831  2 Pd 2.73, 1 Au 2.83, 1 Sb 2.90
Sb 0.1295 0.8704 0.6169  2 Pd 2.73, 1 Au 2.83, 1 Sb 2.90
Sb 0.1208 0.3789 0.8670  1 Pd 2.70, 2 Au 2.80, 1 Sb 2.89
Sb 0.3792 0.8789 0.1330  1 Pd 2.70, 2 Au 2.80, 1 Sb 2.89
Sb 0.6295 0.6296 0.6169  2 Pd 2.73, 1 Au 2.83, 1 Sb 2.90
Sb 0.8705 0.1296 0.3831  2 Pd 2.73, 1 Au 2.83, 1 Sb 2.90
Pd 0.5000 0.0000 0.5000  6 Sb 2.70-2.73
Pd 0.0000 0.5000 0.5000  6 Sb 2.70-2.73
Au 0.0000 0.0000 0.0000  6 Sb 2.80-2.83
Au 0.5000 0.5000 0.0000  6 Sb 2.80-2.83

=====

Density functional theory data (GGA-PBE) for a geometry-optimized Sb2PdAu structure.

Computed properties:
Calculated density: 10.7 g cm⁻³
ΔE_f (raw): -0.043 eV per atom
Crystal system: cubic
ΔE to the lowest computed polymorph: 0.551 eV per formula unit
Final energy: -16.89 eV per cell

Unit cell a=4.9354 b=4.9354 c=4.9354 alpha=60.00 beta=60.00 gamma=60.00
Closest atoms and distances in Å follow each position.
Fractional positions:
Sb 0.2500 0.2500 0.2500  4 Pd 3.02, 4 Au 3.02
Sb 0.7500 0.7500 0.7500  4 Au 3.02, 4 Pd 3.02
Au 0.5000 0.5000 0.5000  8 Sb 3.02
Pd 0.0000 0.0000 0.0000  8 Sb 3.02

=====

Density functional theory data (GGA-PBE) for a geometry-optimized SbPd4Au2 structure.

Computed properties:
Calculated density: 12.1 g cm⁻³
ΔE_f (raw): -0.126 eV per atom
Crystal system: tetragonal
ΔE to the lowest computed polymorph: 0.372 eV per formula unit
Final energy: -32.33 eV per cell

Unit cell a=5.5427 b=5.5427 c=5.5427 alpha=116.38 beta=106.13 gamma=106.13
Closest atoms and distances in Å follow each position.
Fractional positions:
Sb 0.0000 0.0000 0.0000  8 Pd 2.77
Pd 0.5000 0.0000 0.0000  2 Sb 2.77, 4 Au 2.77, 2 Pd 2.92
Pd 0.5000 0.5000 0.5000  4 Au 2.77, 2 Sb 2.77, 2 Pd 2.92
Pd 0.0000 0.0000 0.5000  4 Au 2.77, 2 Sb 2.77, 2 Pd 2.92
Pd 0.0000 0.5000 0.0000  4 Au 2.77, 2 Sb 2.77, 2 Pd 2.92
Au 0.5000 0.5000 0.0000  8 Pd 2.77, 2 Au 2.92
Au 0.5000 0.0000 0.5000  8 Pd 2.77, 2 Au 2.92

=====

Density functional theory data (GGA-PBE) for a geometry-optimized SbPd5Au2 structure.

Computed properties:
Calculated density: 12.6 g cm⁻³
ΔE_f (raw): -0.136 eV per atom
Crystal system: tetragonal
ΔE to the lowest computed polymorph: 1.029 eV per formula unit
Final energy: -75.45 eV per cell

Unit cell a=6.9973 b=6.9973 c=7.5195 alpha=117.73 beta=117.73 gamma=90.00
Closest atoms and distances in Å follow each position.
Fractional positions:
Sb 0.7500 0.7500 0.5000  10 Pd 2.83
Sb 0.2500 0.2500 0.5000  10 Pd 2.83
Pd 0.4844 0.6833 0.6677  4 Pd 2.74-2.98, 3 Au 2.77-2.79, 2 Sb 2.83
Pd 0.8167 0.0156 0.3323  4 Pd 2.74-2.98, 3 Au 2.77-2.79, 2 Sb 2.83
Pd 0.0000 0.0000 0.0000  4 Au 2.69, 2 Sb 2.83
Pd 0.5000 0.5000 0.0000  4 Au 2.69, 2 Sb 2.83
Pd 0.1833 0.9844 0.6677  4 Pd 2.74-2.98, 3 Au 2.77-2.79, 2 Sb 2.83
Pd 0.6833 0.1833 0.6677  4 Pd 2.74-2.98, 3 Au 2.77-2.79, 2 Sb 2.83
Pd 0.9844 0.4844 0.6677  4 Pd 2.74-2.98, 3 Au 2.77-2.79, 2 Sb 2.83
Pd 0.3167 0.8167 0.3323  4 Pd 2.74-2.98, 3 Au 2.77-2.79, 2 Sb 2.83
Pd 0.0156 0.5156 0.3323  4 Pd 2.74-2.98, 3 Au 2.77-2.79, 2 Sb 2.83
Pd 0.5156 0.3167 0.3323  4 Pd 2.74-2.98, 3 Au 2.77-2.79, 2 Sb 2.83
Au 0.1437 0.3563 0.0000  8 Pd 2.69-2.79, 1 Au 2.84
Au 0.6437 0.1437 0.0000  8 Pd 2.69-2.79, 1 Au 2.84
Au 0.3563 0.8563 0.0000  8 Pd 2.69-2.79, 1 Au 2.84
Au 0.8563 0.6437 0.0000  8 Pd 2.69-2.79, 1 Au 2.84

=====

Density functional theory data (GGA-PBE) for a geometry-optimized Sb2Pd3Au structure.

Computed properties:
Calculated density: 10.3 g cm⁻³
ΔE_f (raw): -0.252 eV per atom
Crystal system: orthorhombic
Final energy: -57.22 eV per cell

Unit cell a=6.3798 b=5.9398 c=7.8168 alpha=112.33 beta=114.08 gamma=90.00
Closest atoms and distances in Å follow each position.
Fractional positions:
Sb 0.5034 0.3470 0.6940  6 Pd 2.67-2.71, 1 Au 2.96
Sb 0.8095 0.1530 0.3060  6 Pd 2.67-2.71, 1 Au 2.96
Sb 0.1905 0.8470 0.6940  6 Pd 2.67-2.71, 1 Au 2.96
Sb 0.4966 0.6530 0.3060  6 Pd 2.67-2.71, 1 Au 2.96
Pd 0.5000 0.2500 0.0000  4 Sb 2.67, 2 Pd 2.97
Pd 0.5000 0.7500 0.0000  4 Sb 2.67, 2 Pd 2.97
Pd 0.8094 0.0594 0.6188  4 Sb 2.69-2.71, 2 Au 2.88, 2 Pd 2.97
Pd 0.1906 0.4406 0.3812  4 Sb 2.69-2.71, 2 Au 2.88, 2 Pd 2.97
Pd 0.1906 0.9406 0.3812  4 Sb 2.69-2.71, 2 Au 2.88, 2 Pd 2.97
Pd 0.8094 0.5594 0.6188  4 Sb 2.69-2.71, 2 Au 2.88, 2 Pd 2.97
Au 0.0000 0.5000 0.0000  4 Pd 2.88, 2 Sb 2.96, 2 Au 2.97
Au 0.0000 0.0000 0.0000  4 Pd 2.88, 2 Sb 2.96, 2 Au 2.97

=====

Density functional theory data (GGA-PBE) for a geometry-optimized Sb2Pd3Au2 structure.

Computed properties:
Calculated density: 12.2 g cm⁻³
ΔE_f (raw): -0.259 eV per atom
Crystal system: triclinic
Final energy: -32.19 eV per cell

Unit cell a=4.3627 b=4.8573 c=7.6800 alpha=99.82 beta=107.23 gamma=116.32
Closest atoms and distances in Å follow each position.
Fractional positions:
Sb 0.8064 0.3842 0.2220  6 Pd 2.72-2.88, 2 Au 2.99-3.04
Sb 0.1936 0.6158 0.7780  6 Pd 2.72-2.88, 2 Au 2.99-3.04
Pd 0.0000 0.0000 0.0000  4 Sb 2.88, 2 Au 2.91, 6 Pd 2.93-2.99
Pd 0.5551 0.2807 0.8313  4 Sb 2.72-2.78, 3 Au 2.87-3.02, 3 Pd 2.93-2.99
Pd 0.4449 0.7193 0.1687  4 Sb 2.72-2.78, 3 Au 2.87-3.02, 3 Pd 2.93-2.99
Au 0.2786 0.1367 0.4177  4 Pd 2.87-3.02, 3 Au 2.91-2.97, 3 Sb 2.99-3.08
Au 0.7214 0.8633 0.5823  4 Pd 2.87-3.02, 3 Au 2.91-2.97, 3 Sb 2.99-3.08